Here is CaTa2C after structural relaxation from the Alexandria database. Energies are from GGA-PBE.

POSCAR file:
```
CaTa2C
1.0
6.486 0.000 0.000
0.000 6.486 0.000
3.243 3.243 4.597
C Ta Ca
2 4 2
direct
0.250 0.750 0.500 C
0.500 0.500 0.000 C
0.376 0.125 0.250 Ta
0.875 0.626 0.750 Ta
0.375 0.624 0.750 Ta
0.374 0.625 0.250 Ta
0.000 0.000 0.000 Ca
0.750 0.250 0.500 Ca
```

## Properties
* spin magnetization: 0.00 μB per formula unit
* electronic total energy: -8.103 eV per atom
* ΔE_f: 60.74 kJ/mol of atoms